Entry from the Alexandria database: NaFe2Mo after structural relaxation (PBE-GGA).

Final energy   -6.424 eV per atom
Calculated volume   13.46 Å³ per atom
SG   No. 225

The structure in POSCAR format:
```
NaFe2Mo
1.0
0.000 2.997 2.997
2.997 0.000 2.997
2.997 2.997 0.000
Fe Na Mo
2 1 1
Cartesian
1.499 1.499 1.499
4.496 4.496 4.496
0.000 0.000 0.000
2.997 2.997 2.997
```



Entry from the Alexandria database: Hf2BeBi after structural relaxation (PBE-GGA).

Final energy   -6.598 eV per atom
Calculated volume   20.90 Å³ per atom
SG   No. 122

The structure in POSCAR format:
```
Hf2BeBi
1.0
-6.590 -1.447 3.274
-2.074 -4.046 -5.964
-3.176 -5.183 -0.094
Hf Bi Be
4 2 2
Cartesian
-3.126 -4.052 -3.236
-9.896 -8.563 -2.233
-5.698 -6.077 -1.272
-4.959 -2.659 1.171
0.000 0.000 0.000
-7.049 -4.688 0.917
-4.791 -5.988 -3.702
-4.332 -2.746 -1.345
```



Entry from the Alexandria database: Ca2NiAgH6 after structural relaxation (PBE-GGA).

Final energy   -3.528 eV per atom
Calculated volume   10.97 Å³ per atom
SG   No. 164

The structure in POSCAR format:
```
Ca2NiAgH6
1.0
-2.645 0.768 -4.195
-2.520 -4.270 0.806
-1.724 4.328 1.880
Ca H Ag Ni
2 6 1 1
Cartesian
-4.355 -0.794 -2.168
-2.534 1.620 0.659
-1.612 -0.538 -0.240
-5.277 1.364 -1.269
-3.107 1.335 -2.642
-2.901 -2.721 0.172
-3.988 3.547 -1.681
-3.782 -0.509 1.133
-1.322 0.384 -2.098
0.000 0.000 0.000
```



Entry from the Alexandria database: MgPaGaO5 after structural relaxation (PBE-GGA).

Final energy   -7.563 eV per atom
Formation energy (no corrections)   -2.700 eV/atom
Calculated volume   13.91 Å³ per atom
SG   No. 15

The structure in POSCAR format:
```
MgPaGaO5
1.0
-2.452 -2.183 -4.628
-3.025 -1.475 4.568
-1.582 7.697 -0.691
O Mg Ga Pa
10 2 2 2
Cartesian
-2.202 1.091 -3.125
-3.351 5.382 2.281
-5.098 4.735 -0.210
-4.858 2.948 2.374
-2.811 3.224 0.049
-1.962 -0.696 -0.541
-3.356 0.369 3.354
-3.704 3.670 -4.105
-4.248 0.815 -0.800
-3.708 -1.343 -3.031
-3.837 3.835 -1.964
-3.222 0.204 1.213
-4.031 4.074 1.147
-3.028 -0.035 -1.897
0.000 0.000 0.000
-0.791 3.848 -0.345
```